## i
VASP calculation (PBE) on an optimized crystal structure of MgBeAl2.

a = 3.929 Å, b = 3.929 Å, c = 4.104 Å
α = 90.00°, β = 90.00°, γ = 90.00°
Fractional positions:
Mg 0.000 0.000 0.000
Be 0.500 0.500 0.000
Al 0.000 0.500 0.500
Al 0.500 0.000 0.500

The space group is No. 123. The value obtained for the density of states at the Fermi level is 2.3 states/eV/cell.



## ii
VASP calculation (PBE) on an optimized crystal structure of MgBeAl2.

a = 2.820 Å, b = 3.631 Å, c = 6.331 Å
α = 90.00°, β = 90.00°, γ = 90.00°
Fractional positions:
Mg 0.000 0.000 0.000
Be 0.500 0.500 0.722
Al 0.000 0.000 0.552
Al 0.500 0.500 0.302

The space group is No. 25. The value obtained for the density of states at the Fermi level is 1.6 states/eV/cell.



## iii
VASP calculation (PBE) on an optimized crystal structure of MgBeAl2.

a = 8.794 Å, b = 8.794 Å, c = 8.794 Å
α = 19.26°, β = 19.26°, γ = 19.26°
Fractional positions:
Mg 0.000 0.000 0.000
Be 0.500 0.500 0.500
Al 0.239 0.239 0.239
Al 0.761 0.761 0.761

The space group is No. 166. The value obtained for the density of states at the Fermi level is 1.0 states/eV/cell.



## iv
VASP calculation (PBE) on an optimized crystal structure of MgBeAl2.

a = 4.744 Å, b = 4.930 Å, c = 5.918 Å
α = 88.09°, β = 78.20°, γ = 74.83°
Fractional positions:
Mg 0.000 0.000 0.000
Mg 0.250 0.413 0.707
Be 0.288 0.681 0.299
Be 0.404 0.868 0.585
Al 0.396 0.166 0.242
Al 0.613 0.687 0.915
Al 0.817 0.531 0.321
Al 0.874 0.018 0.535

The space group is No. 1. The value obtained for the density of states at the Fermi level is 1.5 states/eV/cell.



Short version: iv is the most stable of them.



## i
VASP calculation (PBE) on an optimized crystal structure of MgBeAl2.

a = 9.515 Å, b = 9.515 Å, c = 9.515 Å
α = 155.91°, β = 155.91°, γ = 34.33°
Fractional positions:
Mg 0.000 0.000 0.000
Mg 0.750 0.250 0.500
Be 0.250 0.750 0.500
Be 0.500 0.500 0.000
Al 0.146 0.625 0.021
Al 0.375 0.396 0.521
Al 0.604 0.125 0.979
Al 0.875 0.854 0.479

The space group is No. 122. The value obtained for the density of states at the Fermi level is 3.2 states/eV/cell.



## ii
VASP calculation (PBE) on an optimized crystal structure of MgBeAl2.

a = 4.902 Å, b = 4.902 Å, c = 2.888 Å
α = 90.00°, β = 90.00°, γ = 112.02°
Fractional positions:
Mg 0.000 0.000 0.000
Be 0.500 0.500 0.000
Al 0.000 0.500 0.500
Al 0.500 0.000 0.500

The space group is No. 65. The value obtained for the density of states at the Fermi level is 1.4 states/eV/cell.



## iii
VASP calculation (PBE) on an optimized crystal structure of MgBeAl2.

a = 4.127 Å, b = 4.526 Å, c = 7.367 Å
α = 97.26°, β = 105.69°, γ = 90.31°
Fractional positions:
Mg 0.078 0.297 0.163
Mg 0.922 0.703 0.837
Be 0.273 0.398 0.545
Be 0.727 0.602 0.455
Al 0.202 0.859 0.403
Al 0.436 0.229 0.873
Al 0.564 0.771 0.127
Al 0.798 0.141 0.597

The space group is No. 2. The value obtained for the density of states at the Fermi level is 2.4 states/eV/cell.



## iv
VASP calculation (PBE) on an optimized crystal structure of MgBeAl2.

a = 4.575 Å, b = 3.974 Å, c = 7.379 Å
α = 90.00°, β = 99.32°, γ = 90.00°
Fractional positions:
Mg 0.038 0.250 0.162
Mg 0.962 0.750 0.838
Be 0.115 0.250 0.547
Be 0.885 0.750 0.453
Al 0.409 0.750 0.598
Al 0.462 0.250 0.871
Al 0.538 0.750 0.129
Al 0.591 0.250 0.402

The space group is No. 11. The value obtained for the density of states at the Fermi level is 3.4 states/eV/cell.



Short version: iii is the most stable of them.



## i
VASP calculation (PBE) on an optimized crystal structure of MgBeAl2.

a = 2.829 Å, b = 2.829 Å, c = 7.830 Å
α = 90.00°, β = 90.00°, γ = 90.00°
Fractional positions:
Mg 0.000 0.000 0.000
Be 0.500 0.500 0.766
Al 0.000 0.000 0.564
Al 0.500 0.500 0.291

The space group is No. 99. The value obtained for the density of states at the Fermi level is 1.3 states/eV/cell.



## ii
VASP calculation (PBE) on an optimized crystal structure of MgBeAl2.

a = 4.489 Å, b = 4.489 Å, c = 4.489 Å
α = 60.00°, β = 60.00°, γ = 60.00°
Fractional positions:
Mg 0.000 0.000 0.000
Be 0.250 0.250 0.250
Al 0.500 0.500 0.500
Al 0.750 0.750 0.750

The space group is No. 216. The value obtained for the density of states at the Fermi level is 1.5 states/eV/cell.



Short version: i is the most stable of them.



## i
VASP calculation (PBE) on an optimized crystal structure of MgBeAl2.

a = 4.750 Å, b = 4.750 Å, c = 4.987 Å
α = 101.18°, β = 101.18°, γ = 35.64°
Fractional positions:
Mg 0.000 0.000 0.000
Be 0.750 0.750 0.239
Al 0.235 0.235 0.719
Al 0.477 0.477 0.475

The space group is No. 8. The value obtained for the density of states at the Fermi level is 1.8 states/eV/cell.



## ii
VASP calculation (PBE) on an optimized crystal structure of MgBeAl2.

a = 4.609 Å, b = 5.082 Å, c = 5.845 Å
α = 85.49°, β = 78.02°, γ = 76.98°
Fractional positions:
Mg 0.092 0.395 0.252
Mg 0.908 0.605 0.748
Be 0.057 0.083 0.647
Be 0.943 0.917 0.353
Al 0.293 0.861 0.966
Al 0.464 0.761 0.408
Al 0.536 0.239 0.592
Al 0.707 0.139 0.034

The space group is No. 2. The value obtained for the density of states at the Fermi level is 1.9 states/eV/cell.



## iii
VASP calculation (PBE) on an optimized crystal structure of MgBeAl2.

a = 2.917 Å, b = 4.312 Å, c = 5.231 Å
α = 90.00°, β = 101.17°, γ = 90.00°
Fractional positions:
Mg 0.000 0.000 0.000
Be 0.500 0.000 0.500
Al 0.379 0.500 0.731
Al 0.621 0.500 0.269

The space group is No. 10. The value obtained for the density of states at the Fermi level is 1.3 states/eV/cell.



Short version: ii is the most stable of them.



## i
VASP calculation (PBE) on an optimized crystal structure of MgBeAl2.

a = 5.075 Å, b = 3.760 Å, c = 7.292 Å
α = 90.00°, β = 108.36°, γ = 90.00°
Fractional positions:
Mg 0.136 0.000 0.304
Mg 0.864 0.000 0.696
Be 0.431 0.000 0.846
Be 0.569 0.000 0.154
Al 0.249 0.500 0.000
Al 0.331 0.500 0.627
Al 0.669 0.500 0.373
Al 0.751 0.500 0.000

The space group is No. 10. The value obtained for the density of states at the Fermi level is 2.8 states/eV/cell.



## ii
VASP calculation (PBE) on an optimized crystal structure of MgBeAl2.

a = 5.704 Å, b = 5.704 Å, c = 5.704 Å
α = 151.96°, β = 131.77°, γ = 56.72°
Fractional positions:
Mg 0.000 0.000 0.000
Be 0.500 0.500 0.000
Al 0.292 0.792 0.500
Al 0.708 0.208 0.500

The space group is No. 71. The value obtained for the density of states at the Fermi level is 1.4 states/eV/cell.



Short version: i is the most stable of them.